Entry from Alexandria via LeMat-Bulk: a relaxed LiCaTbRh crystal (GGA-PBE). Values from VASP.

Values from the calculation:
**DFT total energy**: -4.3138 eV per atom
**E_form**: -0.34 eV per atom
**Symmetry**: No. 216
**Total magnetization**: 0.00 μB per atom

```
&SYSTEM
  ibrav = 0, nat = 4, ntyp = 4
/
ATOMIC_SPECIES
Li 6.94 Li.upf
Ca 40.08 Ca.upf
Tb 158.93 Tb.upf
Rh 102.91 Rh.upf
ATOMIC_POSITIONS crystal
Li 0.000 0.000 0.000
Ca 0.250 0.250 0.250
Tb 0.750 0.750 0.750
Rh 0.500 0.500 0.500
CELL_PARAMETERS angstrom
0.000 3.522 3.522
3.522 0.000 3.522
3.522 3.522 0.000
```